1.
The following is a PBE-GGA calculation of an optimized crystal structure of RbCu3Br, from Alexandria via LeMat-Bulk.

Calculated values
Calculated volume, Å³/cell: 133.9
SG: Pm-3m, No. 221

Cell: 5.116 5.116 5.116 Å, 90.00 90.00 90.00°
Element x y z (fractional)
Cu1 0.000 0.500 0.000
Cu2 0.500 0.000 0.000
Cu3 0.000 0.000 0.500
Br1 0.000 0.000 0.000
Rb1 0.500 0.500 0.500

2.
The following is a PBE-GGA calculation of an optimized crystal structure of RbCu3Br, from Alexandria via LeMat-Bulk.

Calculated values
Calculated volume, Å³/cell: 176.5
SG: Pm-3m, No. 221

Cell: 5.609 5.609 5.609 Å, 90.00 90.00 90.00°
Each line ends with the local moment (μB).
Element x y z (fractional)
Rb1 0.000 0.000 0.000  0.04
Cu1 0.000 0.000 0.500  0.10
Cu2 0.000 0.500 0.000  0.08
Cu3 0.500 0.000 0.000  0.06
Br1 0.500 0.500 0.500  0.01

Q: Which of them is the least stable? A: 2.

1.
The following is a PBE-GGA calculation of an optimized crystal structure of Rb3CuBr6, from Alexandria via LeMat-Bulk.

Calculated values
Calculated volume, Å³/cell: 381.2
SG: Fm-3m, No. 225

Cell: 8.138 8.138 8.139 Å, 60.00 60.00 90.00°
Each line ends with the local moment (μB).
Element x y z (fractional)
Br1 0.280 0.280 0.000  0.17
Br2 0.720 0.280 0.000  0.17
Br3 0.280 0.720 0.000  0.17
Br4 0.720 0.720 0.000  0.17
Br5 0.280 0.280 0.440  0.17
Br6 0.720 0.720 0.560  0.17
Cu1 0.500 0.500 0.000  0.64
Rb1 0.750 0.250 0.500  0.00
Rb2 0.000 0.000 0.000  0.03
Rb3 0.250 0.750 0.500  0.00

2.
The following is a PBE-GGA calculation of an optimized crystal structure of Rb3CuBr6, from Alexandria via LeMat-Bulk.

Calculated values
Calculated volume, Å³/cell: 750.2
SG: P2_1/c, No. 14

Cell: 7.953 8.350 11.298 Å, 90.00 89.91 90.00°
Each line ends with the local moment (μB).
Element x y z (fractional)
Br1 0.600 0.464 0.288  0.18
Br2 0.239 0.329 0.456  0.18
Br3 0.661 0.244 0.560  0.20
Br4 0.839 0.744 0.940  0.20
Br5 0.261 0.829 0.044  0.18
Br6 0.400 0.536 0.712  0.18
Br7 0.761 0.671 0.544  0.18
Br8 0.739 0.171 0.956  0.18
Br9 0.100 0.036 0.788  0.18
Br10 0.900 0.964 0.212  0.18
Br11 0.339 0.756 0.440  0.20
Br12 0.161 0.256 0.060  0.20
Rb1 0.000 0.000 0.500  0.01
Rb2 0.977 0.433 0.748  0.00
Rb3 0.500 0.500 0.000  0.01
Rb4 0.023 0.567 0.252  0.00
Rb5 0.477 0.067 0.248  0.00
Rb6 0.523 0.933 0.752  0.00
Cu1 0.500 0.500 0.500  0.64
Cu2 0.000 0.000 0.000  0.64

3.
The following is a PBE-GGA calculation of an optimized crystal structure of Rb3CuBr6, from Alexandria via LeMat-Bulk.

Calculated values
Calculated volume, Å³/cell: 836.6
SG: Cmc2_1, No. 36

Cell: 5.965 12.046 12.046 Å, 104.87 90.00 90.00°
Each line ends with the local moment (μB).
Element x y z (fractional)
Rb1 0.455 0.384 0.616  0.00
Rb2 0.481 0.304 0.060  0.00
Rb3 0.955 0.616 0.384  0.00
Rb4 0.981 0.696 0.940  0.00
Rb5 0.481 0.940 0.696  0.00
Rb6 0.981 0.060 0.304  0.00
Br1 0.222 0.337 0.334  0.00
Br2 0.722 0.663 0.666  0.00
Br3 0.614 0.917 0.083  0.09
Br4 0.722 0.334 0.337  0.00
Br5 0.150 0.130 0.590  0.09
Br6 0.222 0.666 0.663  0.00
Br7 0.114 0.083 0.917  0.09
Br8 0.150 0.410 0.870  0.09
Br9 0.650 0.590 0.130  0.09
Br10 0.655 0.216 0.784  0.17
Br11 0.650 0.870 0.410  0.09
Br12 0.155 0.784 0.216  0.17
Cu1 0.555 0.792 0.208  0.47
Cu2 0.055 0.208 0.792  0.47

Q: Which of them is the least stable? A: 1.

1.
The following is a PBE-GGA calculation of an optimized crystal structure of RbCu6Br8, from Alexandria via LeMat-Bulk.

Calculated values
Calculated volume, Å³/cell: 382.5
SG: R-3, No. 148

Cell: 7.299 7.299 7.299 Å, 95.77 95.77 95.77°
Element x y z (fractional)
Cu1 0.245 0.356 0.647
Cu2 0.356 0.647 0.245
Cu3 0.755 0.644 0.353
Cu4 0.353 0.755 0.644
Cu5 0.644 0.353 0.755
Cu6 0.647 0.245 0.356
Br1 0.779 0.404 0.103
Br2 0.221 0.596 0.897
Br3 0.596 0.897 0.221
Br4 0.103 0.779 0.404
Br5 0.328 0.328 0.328
Br6 0.672 0.672 0.672
Br7 0.897 0.221 0.596
Br8 0.404 0.103 0.779
Rb1 0.000 0.000 0.000

2.
The following is a PBE-GGA calculation of an optimized crystal structure of RbCu6Br8, from Alexandria via LeMat-Bulk.

Calculated values
Calculated volume, Å³/cell: 491.8
SG: Fm-3m, No. 225

Cell: 8.860 8.860 8.860 Å, 60.00 60.00 60.00°
Element x y z (fractional)
Cu1 0.000 0.000 0.500
Cu2 0.000 0.500 0.500
Cu3 0.500 0.000 0.000
Cu4 0.000 0.500 0.000
Cu5 0.500 0.500 0.000
Cu6 0.500 0.000 0.500
Br1 0.851 0.851 0.851
Br2 0.851 0.447 0.851
Br3 0.149 0.149 0.149
Br4 0.447 0.851 0.851
Br5 0.553 0.149 0.149
Br6 0.149 0.553 0.149
Br7 0.851 0.851 0.447
Br8 0.149 0.149 0.553
Rb1 0.000 0.000 0.000

Q: Which of them is the least stable? A: 2.